Entry 1:
# GeRhC3 (PBE, relaxed)
# mass density: 5.94 g/cm³
# distance to the lowest polymorph of the same formula: 368 meV per atom
# total magnetic moment: 0.000 μB per cell
# ΔH_f (0 K): 258.2 kJ per mole of atoms
data_GeRhC3
_chemical_formula_sum 'Ge1 Rh1 C3'
_cell_length_a 3.897
_cell_length_b 3.897
_cell_length_c 3.897
_cell_angle_alpha 90.00
_cell_angle_beta 90.00
_cell_angle_gamma 90.00
_symmetry_space_group_name_H-M 'P m -3 m'
_symmetry_Int_Tables_number 221
_symmetry_space_group_name_Hall '-P 4 2 3'
loop_
_atom_site_label
_atom_site_fract_x
_atom_site_fract_y
_atom_site_fract_z
Ge1 0.000 0.000 0.000
Rh1 0.500 0.500 0.500
C1 0.000 0.000 0.500

---

Entry 2:
# Pm2Dy5Sb5 (PBE, relaxed)
# energy relative to the elements, uncorrected: -10.19 eV per formula unit
# mass density: 7.56 g/cm³
# total magnetic moment: 0.000 μB per cell
data_Pm2Dy5Sb5
_chemical_formula_sum 'Pm4 Dy10 Sb10'
_cell_length_a 14.093
_cell_length_b 4.345
_cell_length_c 12.782
_cell_angle_alpha 90.00
_cell_angle_beta 106.17
_cell_angle_gamma 90.00
_symmetry_space_group_name_H-M 'C 1 2/m 1'
_symmetry_Int_Tables_number 12
_symmetry_space_group_name_Hall '-C 2y'
loop_
_atom_site_label
_atom_site_fract_x
_atom_site_fract_y
_atom_site_fract_z
Pm1 0.035 0.000 0.278
Dy1 0.000 0.500 0.000
Dy2 0.158 0.500 0.541
Dy3 0.225 0.500 0.844
Sb1 0.000 0.000 0.500
Sb2 0.124 0.000 0.939
Sb3 0.201 0.500 0.303

---

Entry 3:
# La2MgSn2Rh5 (PBE, relaxed)
# mass density: 8.62 g/cm³
# total magnetic moment: 0.000 μB per cell
# ΔH_f (0 K): -49.1 kJ per mole of atoms
data_La2MgSn2Rh5
_chemical_formula_sum 'La4 Mg2 Sn4 Rh10'
_cell_length_a 10.432
_cell_length_b 10.432
_cell_length_c 3.730
_cell_angle_alpha 90.00
_cell_angle_beta 90.00
_cell_angle_gamma 90.00
_symmetry_space_group_name_H-M 'P 4/m b m'
_symmetry_Int_Tables_number 127
_symmetry_space_group_name_Hall '-P 4 2ab'
loop_
_atom_site_label
_atom_site_fract_x
_atom_site_fract_y
_atom_site_fract_z
La1 0.172 0.328 0.000
Mg1 0.000 0.000 0.000
Sn1 0.127 0.627 0.000
Rh1 0.000 0.500 0.500
Rh2 0.060 0.796 0.500

---

Entry 4:
# Sr3TiN3 (PBE, relaxed)
# energy relative to the elements, uncorrected: -5.65 eV per formula unit
# mass density: 4.66 g/cm³
# distance to the lowest polymorph of the same formula: 60 meV per atom
# total magnetic moment: 2.139 μB per cell
data_Sr3TiN3
_chemical_formula_sum 'Sr24 Ti8 N24'
_cell_length_a 16.292
_cell_length_b 5.943
_cell_length_c 10.383
_cell_angle_alpha 90.00
_cell_angle_beta 90.00
_cell_angle_gamma 90.00
_symmetry_space_group_name_H-M 'C m c e'
_symmetry_Int_Tables_number 64
_symmetry_space_group_name_Hall '-C 2ac 2'
loop_
_atom_site_label
_atom_site_fract_x
_atom_site_fract_y
_atom_site_fract_z
Sr1 0.000 0.119 0.161
Sr2 0.183 0.146 0.860
Ti1 0.087 0.000 0.500
N1 0.000 0.188 0.406
N2 0.152 0.200 0.610

---

Entry 5:
# BaGa3Pb (PBE, relaxed)
# mass density: 4.56 g/cm³
# distance to the lowest polymorph of the same formula: 666 meV per atom
# total magnetic moment: 0.000 μB per cell
# ΔH_f (0 K): 80.4 kJ per mole of atoms
data_BaGa3Pb
_chemical_formula_sum 'Ba1 Ga3 Pb1'
_cell_length_a 5.862
_cell_length_b 5.862
_cell_length_c 5.862
_cell_angle_alpha 90.00
_cell_angle_beta 90.00
_cell_angle_gamma 90.00
_symmetry_space_group_name_H-M 'P m -3 m'
_symmetry_Int_Tables_number 221
_symmetry_space_group_name_Hall '-P 4 2 3'
loop_
_atom_site_label
_atom_site_fract_x
_atom_site_fract_y
_atom_site_fract_z
Ba1 0.000 0.000 0.000
Ga1 0.000 0.000 0.500
Pb1 0.500 0.500 0.500

---

Entry 6:
# LiPr2AlTe5 (PBE, relaxed)
# energy relative to the elements, uncorrected: -9.92 eV per formula unit
# mass density: 5.89 g/cm³
# total magnetic moment: 0.000 μB per cell
data_LiPr2AlTe5
_chemical_formula_sum 'Li4 Pr8 Al4 Te20'
_cell_length_a 4.316
_cell_length_b 19.386
_cell_length_c 12.853
_cell_angle_alpha 90.00
_cell_angle_beta 90.00
_cell_angle_gamma 90.00
_symmetry_space_group_name_H-M 'C m c 21'
_symmetry_Int_Tables_number 36
_symmetry_space_group_name_Hall 'C 2c -2'
loop_
_atom_site_label
_atom_site_fract_x
_atom_site_fract_y
_atom_site_fract_z
Li1 0.000 0.211 0.000
Pr1 0.000 0.119 0.663
Pr2 0.000 0.130 0.286
Al1 0.000 0.423 0.440
Te1 0.000 0.044 0.052
Te2 0.000 0.291 0.646
Te3 0.000 0.310 0.327
Te4 0.000 0.355 0.979
Te5 0.000 0.497 0.266

---

Entry 7:
# Tl2InCl4 (PBE, relaxed)
# energy relative to the elements, uncorrected: -6.72 eV per formula unit
# mass density: 4.74 g/cm³
# distance to the lowest polymorph of the same formula: 0 meV per atom
# total magnetic moment: 0.000 μB per cell
data_Tl2InCl4
_chemical_formula_sum 'Tl4 In2 Cl8'
_cell_length_a 5.370
_cell_length_b 5.370
_cell_length_c 16.160
_cell_angle_alpha 90.00
_cell_angle_beta 90.00
_cell_angle_gamma 90.00
_symmetry_space_group_name_H-M 'I 4/m m m'
_symmetry_Int_Tables_number 139
_symmetry_space_group_name_Hall '-I 4 2'
loop_
_atom_site_label
_atom_site_fract_x
_atom_site_fract_y
_atom_site_fract_z
Tl1 0.000 0.000 0.144
In1 0.000 0.000 0.500
Cl1 0.000 0.000 0.329
Cl2 0.000 0.500 0.000

---

Entry 8:
# KCa4Y (PBE, relaxed)
# mass density: 1.78 g/cm³
# total magnetic moment: 4.071 μB per cell
# ΔH_f (0 K): 30.2 kJ per mole of atoms
data_KCa4Y
_chemical_formula_sum 'K4 Ca16 Y4'
_cell_length_a 10.247
_cell_length_b 10.247
_cell_length_c 10.247
_cell_angle_alpha 90.00
_cell_angle_beta 90.00
_cell_angle_gamma 90.00
_symmetry_space_group_name_H-M 'F -4 3 m'
_symmetry_Int_Tables_number 216
_symmetry_space_group_name_Hall 'F -4 2 3'
loop_
_atom_site_label
_atom_site_fract_x
_atom_site_fract_y
_atom_site_fract_z
K1 0.000 0.000 0.000
Ca1 0.124 0.124 0.376
Y1 0.250 0.250 0.750